1.
Compound: AcNdCuAg
Source: Alexandria
Functional: PBE
Structure: optimized geometry

Structure (CIF):
```
data_AcNdCuAg
_chemical_formula_sum 'Ac4 Nd4 Cu4 Ag4'
_symmetry_space_group_name_H-M 'F -4 3 m'
_symmetry_Int_Tables_number 216
_symmetry_space_group_name_Hall 'F -4 2 3'
_cell_length_a 7.588
_cell_length_b 7.588
_cell_length_c 7.588
_cell_angle_alpha 90.00
_cell_angle_beta 90.00
_cell_angle_gamma 90.00
loop_
_atom_site_label
_atom_site_fract_x
_atom_site_fract_y
_atom_site_fract_z
Ac1 0.000 0.000 0.000
Nd1 0.000 0.000 0.500
Cu1 0.250 0.250 0.750
Ag1 0.250 0.250 0.250
```

## Properties
V   27.31 Å³ per atom
ΔE_f   -0.1476 eV/atom
Calculated total energy   -4.104 eV/atom
M_tot   0.0 μB/cell
DOS(E_F)   2.89 states/eV/f.u.
E above lowest polymorph   0.033 eV/atom

***

2.
Compound: Ac2CuNiAg
Source: Alexandria
Functional: PBE
Structure: optimized geometry

Structure (CIF):
```
data_Ac2CuNiAg
_chemical_formula_sum 'Ac4 Cu2 Ni2 Ag2'
_symmetry_space_group_name_H-M 'P 1 21/m 1'
_symmetry_Int_Tables_number 11
_symmetry_space_group_name_Hall '-P 2yb'
_cell_length_a 7.687
_cell_length_b 4.259
_cell_length_c 8.191
_cell_angle_alpha 90.00
_cell_angle_beta 104.94
_cell_angle_gamma 90.00
loop_
_atom_site_label
_atom_site_fract_x
_atom_site_fract_y
_atom_site_fract_z
Ac1 0.097 0.250 0.217
Ac2 0.349 0.750 0.648
Cu1 0.234 0.250 0.880
Ni1 0.049 0.250 0.579
Ag1 0.383 0.750 0.069
```

## Properties
V   25.91 Å³ per atom
ΔE_f   -0.2353 eV/atom
Calculated total energy   -4.424 eV/atom
M_tot   0.0 μB/cell
DOS(E_F)   3.15 states/eV/f.u.

***

3.
Compound: AcCu4Ag3O12
Source: Alexandria
Functional: PBE
Structure: optimized geometry

Structure (CIF):
```
data_AcCu4Ag3O12
_chemical_formula_sum 'Ac2 Cu8 Ag6 O24'
_symmetry_space_group_name_H-M 'I m -3'
_symmetry_Int_Tables_number 204
_symmetry_space_group_name_Hall '-I 2 2 3'
_cell_length_a 7.619
_cell_length_b 7.619
_cell_length_c 7.619
_cell_angle_alpha 90.00
_cell_angle_beta 90.00
_cell_angle_gamma 90.00
loop_
_atom_site_label
_atom_site_fract_x
_atom_site_fract_y
_atom_site_fract_z
Ac1 0.000 0.000 0.000
Cu1 0.250 0.250 0.250
Ag1 0.000 0.000 0.500
O1 0.000 0.301 0.184
```

## Properties
V   11.06 Å³ per atom
Calculated total energy   -5.082 eV/atom
Formation energy from raw total energies   -0.65 eV per atom
M_tot   0.0 μB/cell
DOS(E_F)   7.82 states/eV/f.u.

***

4.
Compound: Ac3CuAg3O8
Source: Alexandria
Functional: PBE
Structure: optimized geometry

Structure (CIF):
```
data_Ac3CuAg3O8
_chemical_formula_sum 'Ac6 Cu2 Ag6 O16'
_symmetry_space_group_name_H-M 'C 1 2/m 1'
_symmetry_Int_Tables_number 12
_symmetry_space_group_name_Hall '-C 2y'
_cell_length_a 12.142
_cell_length_b 8.253
_cell_length_c 8.528
_cell_angle_alpha 90.00
_cell_angle_beta 131.29
_cell_angle_gamma 90.00
loop_
_atom_site_label
_atom_site_fract_x
_atom_site_fract_y
_atom_site_fract_z
Ac1 0.000 0.000 0.000
Ac2 0.250 0.250 0.500
Cu1 0.000 0.500 0.000
Ag1 0.000 0.000 0.500
Ag2 0.250 0.250 0.000
O1 0.084 0.500 0.267
O2 0.090 0.000 0.361
O3 0.195 0.207 0.172
```

## Properties
V   21.40 Å³ per atom
Calculated total energy   -5.875 eV/atom
Formation energy from raw total energies   -1.57 eV per atom
M_tot   6.2 μB/cell
DOS(E_F)   12.19 states/eV/f.u.